No. 1
DFT (GGA-PBEsol) results for a relaxed structure of Ag2GeRhAu.

It has space group P4/mmm (No. 123), with a = 4.9617 Å, b = 4.9617 Å, c = 4.4684 Å, α = 90.00°, β = 90.00° and γ = 90.00°. The inequivalent atoms are Ag at (0.0000, 0.5000, 0.0000), Ge at (0.0000, 0.0000, 0.5000), Rh at (0.0000, 0.0000, 0.0000) and Au at (0.5000, 0.5000, 0.5000).

The mass density is 8.9 Mg/m³. For the formation energy, the calculation gives 794 meV per atom. As for the uncorrected energy: -3.93 eV/atom.

---

No. 2
DFT (GGA-PBEsol) results for a relaxed structure of CdFeAg.

It has space group I4mm (No. 107), with a = 2.8206 Å, b = 2.8206 Å, c = 11.8934 Å, α = 90.00°, β = 90.00° and γ = 90.00°. The inequivalent atoms are Cd at (0.0000, 0.0000, 0.0000), Fe at (0.0000, 0.0000, 0.3373) and Ag at (0.0000, 0.0000, 0.6837).

The mass density is 9.7 Mg/m³. For the energy relative to the lowest polymorph listed for this composition, the calculation gives 0.0000 eV per atom. For the formation energy, the calculation gives 273 meV per atom. As for the uncorrected energy: -4.22 eV/atom.

---

No. 3
DFT (GGA-PBEsol) results for a relaxed structure of CrRh5.

It has space group Cm (No. 8), with a = 9.7025 Å, b = 2.6657 Å, c = 6.2597 Å, α = 90.00°, β = 104.23° and γ = 90.00°. The inequivalent atoms are Cr at (0.0000, 0.0000, 0.0000), Rh at (0.0550, 0.0000, 0.6171), Rh at (0.1639, 0.5000, 0.3302), Rh at (0.2174, 0.5000, 0.9500), Rh at (0.3388, 0.0000, 0.6830) and Rh at (0.3923, 0.0000, 0.2725).

The mass density is 12.0 Mg/m³. For the formation energy, the calculation gives -63 meV per atom. As for the uncorrected energy: -8.55 eV/atom.